1.
BaMnZnRh2 after structural relaxation, computed with GGA-PBE.

Values from the calculation:
For the volume, the calculation gives 141 Å³/cell. The formation energy from the elements is 2.24 eV/atom. The crystal system is tetragonal. Its total DFT energy (no corrections) is -3.177 eV per atom.

Cell and atoms, written as extended XYZ:
```
5
Lattice="5.057 0.000 0.000 0.000 5.057 0.000 0.000 0.000 5.520" Properties=species:S:1:pos:R:3 pbc="T T T"
Ba 0.000 0.000 0.000
Mn 2.529 2.529 2.760
Zn 0.000 0.000 2.760
Rh 0.000 2.529 0.000
Rh 2.529 0.000 0.000
```

2.
YTaCoCl2 after structural relaxation, computed with GGA-PBE.

Values from the calculation:
For the volume, the calculation gives 103 Å³/cell. The crystal system is tetragonal. Its raw formation energy is 0.30 eV per atom. Its total DFT energy (no corrections) is -5.520 eV per atom.

Cell and atoms, written as extended XYZ:
```
5
Lattice="4.590 0.000 0.000 0.000 4.590 0.000 0.000 0.000 4.884" Properties=species:S:1:pos:R:3 pbc="T T T"
Y 0.000 0.000 0.000
Ta 2.295 2.295 0.000
Co 2.295 2.295 2.442
Cl 0.000 2.295 2.442
Cl 2.295 0.000 2.442
```

3.
ReTcAs4 after structural relaxation, computed with GGA-PBE.

Values from the calculation:
For the volume, the calculation gives 104 Å³/cell. The formation energy from the elements is 1.20 eV/atom. The crystal system is cubic. Its total DFT energy (no corrections) is -5.706 eV per atom.

Cell and atoms, written as extended XYZ:
```
6
Lattice="0.000 3.729 3.729 3.729 0.000 3.729 3.729 3.729 0.000" Properties=species:S:1:pos:R:3 pbc="T T T"
Re 0.000 0.000 0.000
Tc 5.593 5.593 5.593
As 2.797 2.797 2.797
As 4.661 4.661 2.797
As 4.661 2.797 4.661
As 2.797 4.661 4.661
```

4.
MgPtW2Au after structural relaxation, computed with GGA-PBE.

Values from the calculation:
For the volume, the calculation gives 95 Å³/cell. The formation energy from the elements is 2.02 eV/atom. The crystal system is tetragonal. Its total DFT energy (no corrections) is -5.344 eV per atom.

Cell and atoms, written as extended XYZ:
```
5
Lattice="4.620 0.000 0.000 0.000 4.620 0.000 0.000 0.000 4.434" Properties=species:S:1:pos:R:3 pbc="T T T"
Mg 0.000 0.000 0.000
Pt 0.000 0.000 2.217
W 0.000 2.310 0.000
W 2.310 0.000 0.000
Au 2.310 2.310 2.217
```

5.
MgCuAs4 after structural relaxation, computed with GGA-PBE.

Values from the calculation:
For the volume, the calculation gives 119 Å³/cell. The formation energy from the elements is 0.34 eV/atom. The crystal system is cubic. Its total DFT energy (no corrections) is -3.712 eV per atom.

Cell and atoms, written as extended XYZ:
```
6
Lattice="0.000 3.903 3.903 3.903 0.000 3.903 3.903 3.903 0.000" Properties=species:S:1:pos:R:3 pbc="T T T"
Mg 0.000 0.000 0.000
Cu 1.951 1.951 1.951
As 4.874 2.931 2.931
As 2.931 4.874 2.931
As 2.931 2.931 4.874
As 4.874 4.874 4.874
```

6.
Ca2NbInO6 after structural relaxation, computed with GGA-PBE.

Values from the calculation:
For the volume, the calculation gives 259 Å³/cell. The crystal system is monoclinic. Its raw formation energy is -2.58 eV per atom. Its total DFT energy (no corrections) is -7.236 eV per atom.

Cell and atoms, written as extended XYZ:
```
20
Lattice="5.576 0.000 0.000 0.000 5.791 0.000 -5.548 0.000 8.021" Properties=species:S:1:pos:R:3 pbc="T T T"
Ca -0.077 0.319 1.975
Ca -2.851 2.576 5.985
Ca 2.879 3.215 2.036
Ca 0.105 5.472 6.046
Nb 2.788 0.000 0.000
Nb 0.014 2.896 4.010
In -2.774 0.000 4.010
In 0.000 2.896 0.000
O -4.396 1.098 7.601
O -1.622 1.797 3.591
O -3.796 4.123 7.522
O -1.022 4.564 3.511
O -2.159 0.250 6.102
O 0.615 2.646 2.092
O -0.587 3.145 5.929
O 2.187 5.542 1.918
O 1.051 1.227 4.509
O 3.825 1.668 0.499
O 1.650 3.994 4.430
O 4.424 4.693 0.419
```

7.
TbCdAu after structural relaxation, computed with GGA-PBE.

Values from the calculation:
For the volume, the calculation gives 138 Å³/cell. The formation energy from the elements is -0.65 eV/atom. The crystal system is hexagonal. Its total DFT energy (no corrections) is -3.592 eV per atom.

Cell and atoms, written as extended XYZ:
```
6
Lattice="5.123 0.000 0.000 -2.561 4.437 0.000 0.000 0.000 6.090" Properties=species:S:1:pos:R:3 pbc="T T T"
Tb 0.000 2.958 1.523
Tb 2.561 1.479 4.568
Cd 0.000 0.000 0.000
Cd 0.000 0.000 3.045
Au 0.000 2.958 4.568
Au 2.561 1.479 1.523
```

8.
RbAsI2 after structural relaxation, computed with GGA-PBE.

Values from the calculation:
For the volume, the calculation gives 831 Å³/cell. The crystal system is tetragonal. Its raw formation energy is -0.36 eV per atom. Its total DFT energy (no corrections) is -2.540 eV per atom.

Cell and atoms, written as extended XYZ:
```
16
Lattice="6.859 0.000 0.000 0.000 6.859 0.000 0.000 0.000 17.659" Properties=species:S:1:pos:R:3 pbc="T T T"
Rb 0.000 0.000 0.000
Rb 0.000 3.429 4.415
Rb 3.429 0.000 13.244
Rb 3.429 3.429 8.829
As 0.000 0.000 8.829
As 0.000 3.429 13.244
As 3.429 0.000 4.415
As 3.429 3.429 0.000
I 0.955 1.715 11.037
I 1.715 4.384 15.451
I 1.715 5.904 6.622
I 2.474 1.715 2.207
I 4.384 5.144 2.207
I 5.144 0.955 6.622
I 5.144 2.474 15.451
I 5.904 5.144 11.037
```

9.
ReRu3 after structural relaxation, computed with GGA-PBE.

Values from the calculation:
For the volume, the calculation gives 58 Å³/cell. The formation energy from the elements is 0.45 eV/atom. The crystal system is tetragonal. Its total DFT energy (no corrections) is -9.614 eV per atom.

Cell and atoms, written as extended XYZ:
```
4
Lattice="3.249 0.000 0.000 0.000 3.249 0.000 0.000 0.000 5.528" Properties=species:S:1:pos:R:3 pbc="T T T"
Re 0.000 0.000 0.000
Ru 0.000 0.000 2.764
Ru 1.624 1.624 1.391
Ru 1.624 1.624 4.137
```

10.
Ba2SiHPd6 after structural relaxation, computed with GGA-PBE.

Values from the calculation:
For the volume, the calculation gives 187 Å³/cell. The crystal system is triclinic. Its total DFT energy (no corrections) is -4.888 eV per atom.

Cell and atoms, written as extended XYZ:
```
10
Lattice="6.076 0.000 0.000 -3.024 5.296 0.000 -0.022 -3.513 5.821" Properties=species:S:1:pos:R:3 pbc="T T T"
Ba -0.004 1.769 1.037
Ba 3.033 0.014 4.783
Si 3.038 0.000 0.000
H -0.011 -1.756 2.910
Pd -1.484 2.642 3.998
Pd -0.003 0.073 4.001
Pd 1.556 -0.848 1.822
Pd 1.473 2.632 3.999
Pd 3.032 1.711 1.820
Pd 4.513 -0.858 1.823
```

11.
YAl after structural relaxation, computed with GGA-PBE.

Values from the calculation:
For the volume, the calculation gives 208 Å³/cell. The formation energy from the elements is -0.22 eV/atom. The crystal system is orthorhombic. Its total DFT energy (no corrections) is -5.326 eV per atom.

Cell and atoms, written as extended XYZ:
```
8
Lattice="0.000 4.779 5.824 3.730 0.000 5.824 3.730 4.779 0.000" Properties=species:S:1:pos:R:3 pbc="T T T"
Y 2.797 0.727 4.368
Y 4.662 3.116 7.280
Y 2.797 6.442 4.368
Y 4.662 8.832 7.280
Al 4.085 3.584 4.368
Al 5.950 5.974 7.280
Al 1.510 3.584 4.368
Al 3.375 5.974 7.280
```

12.
Ce2MnH8 after structural relaxation, computed with GGA-PBE.

Values from the calculation:
For the volume, the calculation gives 101 Å³/cell. The crystal system is orthorhombic. Its total DFT energy (no corrections) is -4.656 eV per atom.

Cell and atoms, written as extended XYZ:
```
11
Lattice="-1.899 2.389 5.569 1.899 -2.389 5.569 1.899 2.389 -5.569" Properties=species:S:1:pos:R:3 pbc="T T T"
Ce 0.000 0.000 1.870
Ce 0.000 0.000 9.269
Mn 0.000 0.000 5.569
H 1.899 1.279 -1.490
H 0.000 1.287 0.000
H 1.899 0.000 3.231
H 1.899 1.279 1.490
H 0.000 1.110 4.079
H 0.000 2.389 2.339
H 0.000 3.490 0.000
H 0.000 1.110 7.060
```

13.
FeSe after structural relaxation, computed with GGA-PBE.

Values from the calculation:
For the volume, the calculation gives 71 Å³/cell. The crystal system is monoclinic. Its raw formation energy is -0.10 eV per atom. Its total DFT energy (no corrections) is -6.070 eV per atom.

Cell and atoms, written as extended XYZ:
```
4
Lattice="3.233 0.000 0.000 0.000 3.226 0.000 -0.064 0.000 6.791" Properties=species:S:1:pos:R:3 pbc="T T T"
Fe 0.776 0.806 2.774
Fe 2.393 2.419 4.017
Se 0.777 0.806 5.109
Se 2.392 2.419 1.682
```

14.
CdPSe after structural relaxation, computed with GGA-PBE.

Values from the calculation:
For the volume, the calculation gives 68 Å³/cell. The crystal system is trigonal. Its raw formation energy is 0.48 eV per atom. Its total DFT energy (no corrections) is -2.789 eV per atom.

Cell and atoms, written as extended XYZ:
```
3
Lattice="3.129 0.000 0.000 -1.565 2.710 0.000 0.000 0.000 7.994" Properties=species:S:1:pos:R:3 pbc="T T T"
Cd 0.000 0.000 0.000
P 1.565 0.903 2.116
Se 0.000 1.807 5.724
```

15.
Mn2Nb2Sb after structural relaxation, computed with GGA-PBE.

Values from the calculation:
For the volume, the calculation gives 181 Å³/cell. The crystal system is tetragonal. Its raw formation energy is 0.36 eV per atom. Its total DFT energy (no corrections) is -8.158 eV per atom.

Cell and atoms, written as extended XYZ:
```
10
Lattice="7.378 0.000 0.000 0.000 7.378 0.000 0.000 0.000 3.333" Properties=species:S:1:pos:R:3 pbc="T T T"
Mn 0.957 2.731 0.000
Mn 2.731 6.420 0.000
Mn 4.646 0.957 0.000
Mn 6.420 4.646 0.000
Nb 1.139 4.828 1.666
Nb 2.550 1.139 1.666
Nb 4.828 6.239 1.666
Nb 6.239 2.550 1.666
Sb 0.000 0.000 1.666
Sb 3.689 3.689 1.666
```

16.
Te2Au after structural relaxation, computed with GGA-PBE.

Values from the calculation:
For the volume, the calculation gives 678 Å³/cell. The crystal system is orthorhombic. Its raw formation energy is -0.08 eV per atom. Its total DFT energy (no corrections) is -3.272 eV per atom.

Cell and atoms, written as extended XYZ:
```
24
Lattice="16.866 0.000 0.000 0.000 8.929 0.000 0.000 0.000 4.504" Properties=species:S:1:pos:R:3 pbc="T T T"
Te 0.104 1.752 1.756
Te 2.017 4.194 4.210
Te 2.185 7.670 0.000
Te 4.217 1.106 2.653
Te 4.217 4.634 2.273
Te 6.248 7.670 0.000
Te 6.417 4.194 4.210
Te 8.329 1.752 1.756
Te 8.537 7.177 1.756
Te 10.450 4.735 4.210
Te 10.618 1.259 0.000
Te 12.650 4.295 2.273
Te 12.650 7.823 2.653
Te 14.681 1.259 0.000
Te 14.850 4.735 4.210
Te 16.762 7.177 1.756
Au 0.000 4.465 1.997
Au 2.121 1.475 4.399
Au 4.217 7.354 2.211
Au 6.312 1.475 4.399
Au 8.433 4.465 1.997
Au 10.554 7.454 4.399
Au 12.650 1.576 2.211
Au 14.746 7.454 4.399
```